! ErInGe4 (PBE, relaxed); values from VASP
&SYSTEM
  ibrav = 0, nat = 6, ntyp = 3
/
ATOMIC_SPECIES
Er 167.26 Er.upf
In 114.82 In.upf
Ge 72.64 Ge.upf
CELL_PARAMETERS angstrom
0.000 3.976 3.976
3.976 0.000 3.976
3.976 3.976 0.000
ATOMIC_POSITIONS angstrom
Er 0.000 0.000 0.000
In 1.988 1.988 1.988
Ge 4.973 2.979 2.979
Ge 2.979 4.973 2.979
Ge 2.979 2.979 4.973
Ge 4.973 4.973 4.973
! Magnetic moment (μB per cell): 0.00
! DFT formation energy (eV per atom): -0.126
! Symmetry: F-43m (216)